Ag2Sn2Au: relaxed, PBE-GGA.

Output
The total moment comes out at 0.000 μB per atom. Its formation energy is -27 meV/atom. As for the symmetry: P-1, No. 2. The value obtained for the relative energy among the computed polymorphs is 0 meV per atom. Its calculated total energy is -3.42 eV/atom.

Cell: 4.230 5.185 5.725 Å, 81.42 89.31 66.23°
Fractional positions:
Ag 0.200 0.108 0.325
Ag 0.800 0.892 0.675
Sn 0.109 0.271 0.820
Sn 0.891 0.729 0.180
Au 0.500 0.500 0.500